A plane-wave DFT calculation with PBE was carried out for CdPbSO after structural relaxation.

Cell and atoms, written as POSCAR:
```
CdPbSO
1.0
3.881 0.000 0.000
0.000 3.881 0.000
0.000 0.000 12.603
Cd Pb S O
2 2 2 2
direct
0.250 0.250 0.094
0.750 0.750 0.906
0.250 0.250 0.599
0.750 0.750 0.401
0.250 0.250 0.886
0.750 0.750 0.114
0.250 0.750 0.500
0.750 0.250 0.500
```

Properties
ΔE to the lowest computed polymorph ... 0.335 eV per formula unit
V ... 190 Å³ per cell
VASP energy ... -4.15 eV/atom
Space group ... P4/nmm (129)